The following is a GGA-PBE calculation of a geometry-optimized ZrCoSCl2 structure, from Alexandria via LeMat-Bulk. Values from VASP.

## Properties
Its formation energy from raw total energies is -0.267 eV/atom. As for the space group: P4/mmm. As for the density of states at the Fermi level: 10.540 states/eV/cell. As for the size of the total moment: 2.67 μB per cell.

The structure in Quantum ESPRESSO input format:
```
&SYSTEM
  ibrav = 0, nat = 5, ntyp = 4
/
ATOMIC_SPECIES
S 32.06 S.upf
Co 58.93 Co.upf
Zr 91.22 Zr.upf
Cl 35.45 Cl.upf
CELL_PARAMETERS angstrom
5.034 0.000 0.000
0.000 5.034 0.000
0.000 0.000 4.998
ATOMIC_POSITIONS angstrom
S 0.000 0.000 2.499
Co 2.517 2.517 2.499
Zr 0.000 0.000 0.000
Cl 0.000 2.517 0.000
Cl 2.517 0.000 0.000
```

The following is a GGA-PBE calculation of a geometry-optimized CoSb2Cl structure, from Alexandria via LeMat-Bulk. Values from VASP.

## Properties
Its formation energy from raw total energies is 0.020 eV/atom. As for the space group: P4mm. As for the density of states at the Fermi level: 3.840 states/eV/cell. As for the size of the total moment: 0.35 μB per cell.

The structure in Quantum ESPRESSO input format:
```
&SYSTEM
  ibrav = 0, nat = 4, ntyp = 3
/
ATOMIC_SPECIES
Sb 121.76 Sb.upf
Co 58.93 Co.upf
Cl 35.45 Cl.upf
CELL_PARAMETERS angstrom
3.278 0.000 0.000
0.000 3.278 0.000
0.000 0.000 9.236
ATOMIC_POSITIONS angstrom
Sb 0.000 0.000 7.564
Sb 1.639 1.639 1.808
Co 1.639 1.639 8.537
Cl 0.000 0.000 5.182
```

The following is a GGA-PBE calculation of a geometry-optimized CoSb2Cl structure, from Alexandria via LeMat-Bulk. Values from VASP.

## Properties
Its formation energy from raw total energies is 0.183 eV/atom. As for the space group: Immm. As for the density of states at the Fermi level: 4.109 states/eV/cell. As for the size of the total moment: 1.65 μB per cell.

The structure in Quantum ESPRESSO input format:
```
&SYSTEM
  ibrav = 0, nat = 4, ntyp = 3
/
ATOMIC_SPECIES
Sb 121.76 Sb.upf
Co 58.93 Co.upf
Cl 35.45 Cl.upf
CELL_PARAMETERS angstrom
6.507 -0.063 0.041
3.976 5.152 -0.041
-4.755 -3.545 2.677
ATOMIC_POSITIONS angstrom
Sb 0.725 0.352 0.000
Sb 4.517 2.192 0.000
Co 2.231 2.075 1.318
Cl 3.497 -0.532 1.359
```

The following is a GGA-PBE calculation of a geometry-optimized CoSb2Cl structure, from Alexandria via LeMat-Bulk. Values from VASP.

## Properties
Its formation energy from raw total energies is 0.236 eV/atom. As for the space group: C2/m. As for the density of states at the Fermi level: 4.975 states/eV/cell. As for the size of the total moment: 1.36 μB per cell.

The structure in Quantum ESPRESSO input format:
```
&SYSTEM
  ibrav = 0, nat = 4, ntyp = 3
/
ATOMIC_SPECIES
Sb 121.76 Sb.upf
Co 58.93 Co.upf
Cl 35.45 Cl.upf
CELL_PARAMETERS angstrom
-3.339 1.256 -4.768
-4.334 -4.039 0.600
-2.895 1.156 0.603
ATOMIC_POSITIONS angstrom
Sb 0.000 0.000 0.000
Sb -3.837 -1.391 -2.084
Co -3.615 -1.441 0.601
Cl -3.117 1.206 -2.083
```

The following is a GGA-PBE calculation of a geometry-optimized CoSb2Cl structure, from Alexandria via LeMat-Bulk. Values from VASP.

## Properties
Its formation energy from raw total energies is 0.412 eV/atom. As for the space group: P4/mmm. As for the density of states at the Fermi level: 5.593 states/eV/cell. As for the size of the total moment: 1.68 μB per cell.

The structure in Quantum ESPRESSO input format:
```
&SYSTEM
  ibrav = 0, nat = 4, ntyp = 3
/
ATOMIC_SPECIES
Sb 121.76 Sb.upf
Co 58.93 Co.upf
Cl 35.45 Cl.upf
CELL_PARAMETERS angstrom
5.175 0.000 0.000
-0.003 5.175 0.000
0.000 0.000 3.097
ATOMIC_POSITIONS angstrom
Sb 0.000 0.000 0.000
Sb 2.586 2.588 0.000
Co -0.001 2.587 1.548
Cl 2.587 0.000 1.548
```

The following is a GGA-PBE calculation of a geometry-optimized Co2SbCl structure, from Alexandria via LeMat-Bulk. Values from VASP.

## Properties
Its formation energy from raw total energies is 0.497 eV/atom. As for the space group: Pmmm. As for the density of states at the Fermi level: 4.161 states/eV/cell. As for the size of the total moment: 2.50 μB per cell.

The structure in Quantum ESPRESSO input format:
```
&SYSTEM
  ibrav = 0, nat = 4, ntyp = 3
/
ATOMIC_SPECIES
Sb 121.76 Sb.upf
Co 58.93 Co.upf
Cl 35.45 Cl.upf
CELL_PARAMETERS angstrom
-2.901 0.042 -0.825
1.613 -0.770 -5.708
-0.192 -3.926 0.476
ATOMIC_POSITIONS angstrom
Sb -1.546 -1.942 -0.175
Co 0.000 0.000 0.000
Co -0.644 -0.364 -3.267
Cl 0.710 -2.348 -2.616
```

The following is a GGA-PBE calculation of a geometry-optimized CoSbCl structure, from Alexandria via LeMat-Bulk. Values from VASP.

## Properties
Its formation energy from raw total energies is 0.277 eV/atom. As for the space group: F-43m. As for the density of states at the Fermi level: 2.068 states/eV/cell. As for the size of the total moment: 0.15 μB per cell.

The structure in Quantum ESPRESSO input format:
```
&SYSTEM
  ibrav = 0, nat = 3, ntyp = 3
/
ATOMIC_SPECIES
Sb 121.76 Sb.upf
Co 58.93 Co.upf
Cl 35.45 Cl.upf
CELL_PARAMETERS angstrom
4.389 0.000 0.000
2.195 3.801 0.000
2.195 1.267 3.584
ATOMIC_POSITIONS angstrom
Sb 0.000 0.000 0.000
Co 2.195 1.267 0.896
Cl 4.389 2.534 1.792
```

The following is a GGA-PBE calculation of a geometry-optimized Co2SbCl structure, from Alexandria via LeMat-Bulk. Values from VASP.

## Properties
Its formation energy from raw total energies is 0.025 eV/atom. As for the space group: Pm. As for the density of states at the Fermi level: 3.808 states/eV/cell. As for the size of the total moment: 3.90 μB per cell.

The structure in Quantum ESPRESSO input format:
```
&SYSTEM
  ibrav = 0, nat = 4, ntyp = 3
/
ATOMIC_SPECIES
Sb 121.76 Sb.upf
Co 58.93 Co.upf
Cl 35.45 Cl.upf
CELL_PARAMETERS angstrom
-1.529 3.129 0.487
-1.949 -1.356 2.592
5.149 1.761 4.842
ATOMIC_POSITIONS angstrom
Sb 1.229 0.164 2.802
Co -1.116 -0.985 2.822
Co -0.906 1.258 1.770
Cl 2.116 1.945 6.835
```